Version A
A relaxed Li7Cd4Hg crystal. Source: the Alexandria database, functional PBE-GGA.

Lattice parameters (Å, degrees): 7.3938 7.3938 7.6419 116.50 116.50 39.51
With the nearest neighbours (Å) after each atom.
Positions (direct):
Li  0.0000  0.0000  0.0000  2 Hg 2.50
Li  0.2890  0.2890  0.1501  4 Li 2.79-2.96, 3 Cd 2.98-2.99
Li  0.2909  0.2909  0.7872  1 Hg 2.57, 2 Cd 2.67-2.76, 3 Li 2.79-2.87
Li  0.4266  0.4266  0.5872  1 Hg 2.82, 5 Cd 2.89-3.12, 3 Li 2.92-2.96
Li  0.5734  0.5734  0.4128  1 Hg 2.82, 5 Cd 2.89-3.12, 3 Li 2.92-2.96
Li  0.7091  0.7091  0.2128  1 Hg 2.57, 2 Cd 2.67-2.76, 3 Li 2.79-2.87
Li  0.7110  0.7110  0.8499  4 Li 2.79-2.96, 3 Cd 2.98-2.99
Cd  0.0771  0.0771  0.7169  4 Li 2.76-2.99, 1 Cd 2.98
Cd  0.1724  0.1724  0.3920  5 Li 2.67-2.98
Cd  0.8276  0.8276  0.6080  5 Li 2.67-2.98
Cd  0.9229  0.9229  0.2831  4 Li 2.76-2.99, 1 Cd 2.98
Hg  0.5000  0.5000  0.0000  4 Li 2.50-2.57



Version B
A relaxed Li7Cd4Hg crystal. Source: the Alexandria database, functional PBE-GGA.

Lattice parameters (Å, degrees): 4.7170 4.7170 11.3691 90.00 90.00 120.00
With the nearest neighbours (Å) after each atom.
Positions (direct):
Li  0.0000  0.0000  0.0000  6 Cd 2.85, 2 Li 2.88
Li  0.0000  0.0000  0.2534  1 Hg 2.80, 3 Cd 2.86, 4 Li 2.88
Li  0.0000  0.0000  0.7466  1 Hg 2.80, 3 Cd 2.86, 4 Li 2.88
Li  0.3333  0.6667  0.1710  4 Cd 2.79-2.94, 4 Li 2.88-2.89
Li  0.3333  0.6667  0.4256  4 Cd 2.77-2.93, 3 Hg 2.85, 1 Li 2.89
Li  0.6667  0.3333  0.5744  4 Cd 2.77-2.93, 3 Hg 2.85, 1 Li 2.89
Li  0.6667  0.3333  0.8290  4 Cd 2.79-2.94, 4 Li 2.88-2.89
Cd  0.3333  0.6667  0.6689  7 Li 2.77-2.93, 1 Cd 2.92
Cd  0.3333  0.6667  0.9260  7 Li 2.79-2.94, 1 Cd 2.92
Cd  0.6667  0.3333  0.0740  7 Li 2.79-2.94, 1 Cd 2.92
Cd  0.6667  0.3333  0.3311  7 Li 2.77-2.93, 1 Cd 2.92
Hg  0.0000  0.0000  0.5000  8 Li 2.80-2.85



version B is preferred energetically. Next in line: 8.0 kJ/mol of atoms higher.



Version A
A relaxed Li6CdHg3 crystal. Source: the Alexandria database, functional PBE-GGA.

Lattice parameters (Å, degrees): 7.7948 7.7948 6.2020 90.00 90.00 90.07
With the nearest neighbours (Å) after each atom.
Positions (direct):
Li  0.0000  0.5003  0.4866  6 Li 3.06-3.10, 5 Hg 3.14-3.42, 2 Cd 3.26-3.27
Li  0.0000  0.4997  0.9866  6 Li 3.06-3.10, 5 Hg 3.14-3.42, 2 Cd 3.26-3.27
Li  0.1255  0.8745  0.5000  5 Hg 2.72-2.83, 1 Cd 2.75, 2 Li 2.78-2.91
Li  0.1256  0.8744  0.9691  5 Hg 2.72-2.83, 1 Cd 2.75, 2 Li 2.78-2.91
Li  0.3711  0.3711  0.4843  4 Hg 2.71-2.79, 1 Li 2.84, 2 Cd 2.85
Li  0.3711  0.3711  0.9843  4 Hg 2.71-2.79, 1 Li 2.84, 2 Cd 2.85
Li  0.4997  0.0000  0.4866  6 Li 3.06-3.10, 5 Hg 3.14-3.42, 2 Cd 3.26-3.27
Li  0.5003  0.0000  0.9866  6 Li 3.06-3.10, 5 Hg 3.14-3.42, 2 Cd 3.26-3.27
Li  0.6289  0.6289  0.4843  4 Hg 2.71-2.79, 1 Li 2.84, 2 Cd 2.85
Li  0.6289  0.6289  0.9843  4 Hg 2.71-2.79, 1 Li 2.84, 2 Cd 2.85
Li  0.8745  0.1255  0.0000  5 Hg 2.72-2.83, 1 Cd 2.75, 2 Li 2.78-2.91
Li  0.8744  0.1256  0.4691  5 Hg 2.72-2.83, 1 Cd 2.75, 2 Li 2.78-2.91
Cd  0.3254  0.6746  0.2345  6 Li 2.75-2.85
Cd  0.6746  0.3254  0.7345  6 Li 2.75-2.85
Hg  0.1546  0.1849  0.7346  6 Li 2.71-2.83
Hg  0.1849  0.1546  0.2346  6 Li 2.71-2.83
Hg  0.3341  0.6659  0.7345  6 Li 2.72-2.79
Hg  0.6659  0.3341  0.2345  6 Li 2.72-2.79
Hg  0.8151  0.8454  0.7346  6 Li 2.71-2.83
Hg  0.8454  0.8151  0.2346  6 Li 2.71-2.83



Version B
A relaxed Li6CdHg3 crystal. Source: the Alexandria database, functional PBE-GGA.

Lattice parameters (Å, degrees): 7.9821 4.7541 10.0604 90.00 108.49 90.00
With the nearest neighbours (Å) after each atom.
Positions (direct):
Li  0.0385  0.2500  0.4070  7 Hg 2.79-2.97, 2 Li 2.95-3.07
Li  0.1422  0.7500  0.1921  5 Hg 2.79-2.87, 3 Li 2.90-3.05, 1 Cd 2.90
Li  0.2412  0.2500  0.9972  4 Hg 2.84-2.86, 3 Cd 2.89-2.91, 2 Li 2.94-3.05
Li  0.3435  0.7500  0.7914  4 Hg 2.82-2.92, 3 Cd 2.90-2.92, 2 Li 2.93-3.07
Li  0.3469  0.2500  0.3046  8 Li 2.87-2.95, 4 Hg 3.11-3.18
Li  0.4397  0.2500  0.6045  4 Hg 2.75-2.80, 1 Cd 2.86, 3 Li 2.87-2.90
Li  0.5603  0.7500  0.3955  4 Hg 2.75-2.80, 1 Cd 2.86, 3 Li 2.87-2.90
Li  0.6531  0.7500  0.6954  8 Li 2.87-2.95, 4 Hg 3.11-3.18
Li  0.6565  0.2500  0.2086  4 Hg 2.82-2.92, 3 Cd 2.90-2.92, 2 Li 2.93-3.07
Li  0.7588  0.7500  0.0028  4 Hg 2.84-2.86, 3 Cd 2.89-2.91, 2 Li 2.94-3.05
Li  0.8578  0.2500  0.8079  5 Hg 2.79-2.87, 3 Li 2.90-3.05, 1 Cd 2.90
Li  0.9615  0.7500  0.5930  7 Hg 2.79-2.97, 2 Li 2.95-3.07
Cd  0.4486  0.7500  0.0955  8 Li 2.86-2.92
Cd  0.5514  0.2500  0.9045  8 Li 2.86-2.92
Hg  0.0451  0.7500  0.8922  9 Li 2.79-3.13
Hg  0.1505  0.2500  0.6994  8 Li 2.76-2.87
Hg  0.2703  0.7500  0.4879  8 Li 2.75-2.97
Hg  0.7297  0.2500  0.5121  8 Li 2.75-2.97
Hg  0.8495  0.7500  0.3006  8 Li 2.76-2.87
Hg  0.9549  0.2500  0.1078  9 Li 2.79-3.13



version B is preferred energetically. Next in line: 3.4 kJ/mol of atoms higher.



Version A
A relaxed Li4Cd5Hg crystal. Source: the Alexandria database, functional PBE-GGA.

Lattice parameters (Å, degrees): 3.4394 3.4394 16.3415 90.00 90.00 90.00
With the nearest neighbours (Å) after each atom.
Positions (direct):
Li  0.0000  0.0000  0.0968  8 Cd 2.88-2.90, 2 Li 3.13-3.16
Li  0.0000  0.0000  0.2883  8 Cd 2.87-2.90, 1 Li 3.13
Li  0.0000  0.0000  0.7117  8 Cd 2.87-2.90, 1 Li 3.13
Li  0.0000  0.0000  0.9032  8 Cd 2.88-2.90, 2 Li 3.13-3.16
Cd  0.5000  0.5000  0.0000  8 Li 2.90, 2 Cd 3.13
Cd  0.5000  0.5000  0.1916  8 Li 2.88-2.90, 2 Cd 3.10-3.13
Cd  0.5000  0.5000  0.3815  4 Li 2.87, 1 Cd 3.10, 4 Hg 3.11
Cd  0.5000  0.5000  0.6185  4 Li 2.87, 1 Cd 3.10, 4 Hg 3.11
Cd  0.5000  0.5000  0.8084  8 Li 2.88-2.90, 2 Cd 3.10-3.13
Hg  0.0000  0.0000  0.5000  8 Cd 3.11, 4 Hg 3.44, 2 Li 3.46



Version B
A relaxed Li4Cd5Hg crystal. Source: the Alexandria database, functional PBE-GGA.

Lattice parameters (Å, degrees): 7.5873 7.5873 5.8769 105.98 105.98 36.31
With the nearest neighbours (Å) after each atom.
Positions (direct):
Li  0.0932  0.0932  0.3836  6 Cd 2.87-3.02, 2 Hg 2.90
Li  0.3056  0.3056  0.2070  7 Cd 2.80-2.98, 1 Hg 2.83
Li  0.6944  0.6944  0.7930  7 Cd 2.80-2.98, 1 Hg 2.83
Li  0.9068  0.9068  0.6164  6 Cd 2.87-3.02, 2 Hg 2.90
Cd  0.1119  0.1119  0.9001  6 Li 2.80-2.97, 2 Cd 3.01
Cd  0.2885  0.2885  0.6897  7 Li 2.87-3.02, 2 Cd 3.07-3.14
Cd  0.5000  0.5000  0.0000  2 Hg 2.94, 6 Cd 3.01-3.07, 4 Li 3.27
Cd  0.7115  0.7115  0.3103  7 Li 2.87-3.02, 2 Cd 3.07-3.14
Cd  0.8881  0.8881  0.0999  6 Li 2.80-2.97, 2 Cd 3.01
Hg  0.5000  0.5000  0.5000  6 Li 2.83-2.90, 2 Cd 2.94



version B is preferred energetically. Next in line: 2.0 kJ/mol of atoms higher.



Version A
A relaxed LiCd5Hg crystal. Source: the Alexandria database, functional PBE-GGA.

Lattice parameters (Å, degrees): 6.7894 6.7894 7.8314 106.01 106.01 76.66
With the nearest neighbours (Å) after each atom.
Positions (direct):
Li  0.0000  0.5000  0.0000  6 Cd 2.93-3.02
Li  0.5000  0.0000  0.5000  6 Cd 2.93-3.02
Cd  0.0871  0.9129  0.2500  6 Cd 3.01-3.07, 2 Li 3.02, 1 Hg 3.04
Cd  0.1194  0.2884  0.5648  1 Li 2.93, 6 Cd 2.94-3.24, 2 Hg 3.09-3.20
Cd  0.2884  0.1194  0.0648  1 Li 2.93, 6 Cd 2.94-3.24, 2 Hg 3.09-3.20
Cd  0.3024  0.5000  0.3568  6 Cd 2.94-3.12, 1 Li 2.98, 2 Hg 3.08-3.15
Cd  0.5000  0.3024  0.8568  6 Cd 2.94-3.12, 1 Li 2.98, 2 Hg 3.08-3.15
Cd  0.5000  0.6976  0.1432  6 Cd 2.94-3.12, 1 Li 2.98, 2 Hg 3.08-3.15
Cd  0.6976  0.5000  0.6432  6 Cd 2.94-3.12, 1 Li 2.98, 2 Hg 3.08-3.15
Cd  0.7116  0.8806  0.9352  1 Li 2.93, 6 Cd 2.94-3.24, 2 Hg 3.09-3.20
Cd  0.8806  0.7116  0.4352  1 Li 2.93, 6 Cd 2.94-3.24, 2 Hg 3.09-3.20
Cd  0.9129  0.0871  0.7500  6 Cd 3.01-3.07, 2 Li 3.02, 1 Hg 3.04
Hg  0.2734  0.7266  0.7500  9 Cd 3.04-3.20
Hg  0.7266  0.2734  0.2500  9 Cd 3.04-3.20



Version B
A relaxed LiCd5Hg crystal. Source: the Alexandria database, functional PBE-GGA.

Lattice parameters (Å, degrees): 6.9680 6.9680 6.9680 117.03 83.82 130.78
With the nearest neighbours (Å) after each atom.
Positions (direct):
Li  0.0000  0.0000  0.0000  5 Cd 2.56-2.79
Cd  0.0149  0.2463  0.7686  1 Hg 2.79, 1 Li 2.79, 1 Cd 3.01
Cd  0.2508  0.5615  0.3107  1 Li 2.69, 2 Cd 2.76-2.89
Cd  0.2508  0.9401  0.6893  1 Li 2.69, 2 Cd 2.76-2.89
Cd  0.4777  0.2463  0.2314  1 Hg 2.79, 1 Li 2.79, 1 Cd 3.01
Cd  0.5597  0.5597  0.0000  1 Li 2.56
Hg  0.7559  0.2559  0.5000  2 Cd 2.79



version A is preferred energetically. Next in line: 22.1 kJ/mol of atoms higher.